DFT (GGA-PBE) results for an optimized crystal structure of CsZn2PbF7.

Values from the calculation:
Fermi-level density of states ... 0.0 states/eV/cell
Calculated total energy ... -4.249 eV/atom
SG ... P4/mmm, No. 123

abc: 4.0453 4.0453 11.2765
angles: 90.00 90.00 90.00
Positions (direct):
1 Zn 0.5000 0.5000 0.2010
2 F 0.5000 0.5000 0.6299
3 Zn 0.5000 0.5000 0.7990
4 F 0.5000 0.0000 0.1593
5 F 0.0000 0.5000 0.1593
6 F 0.5000 0.5000 0.0000
7 F 0.5000 0.5000 0.3701
8 Cs 0.0000 0.0000 0.5000
9 F 0.0000 0.5000 0.8407
10 F 0.5000 0.0000 0.8407
11 Pb 0.0000 0.0000 0.0000

---

DFT (GGA-PBE) results for an optimized crystal structure of Cs2ZrPbF6.

Values from the calculation:
Fermi-level density of states ... 0.0 states/eV/cell
Calculated total energy ... -5.289 eV/atom
SG ... I4/mmm, No. 139

abc: 6.5439 6.5439 7.7874
angles: 65.16 65.16 90.00
Positions (direct):
1 F 0.2793 0.7207 0.0000
2 Zr 0.5000 0.5000 0.0000
3 F 0.6633 0.6633 0.6734
4 F 0.2793 0.2793 0.0000
5 F 0.7207 0.2793 0.0000
6 Pb 0.0000 0.0000 0.0000
7 F 0.3367 0.3367 0.3266
8 Cs 0.7500 0.2500 0.5000
9 F 0.7207 0.7207 0.0000
10 Cs 0.2500 0.7500 0.5000

---

DFT (GGA-PBE) results for an optimized crystal structure of Cs4PdF5.

Values from the calculation:
Calculated total energy ... -3.946 eV/atom
SG ... I4, No. 79

abc: 6.1911 7.1126 7.1126
angles: 79.08 64.20 64.20
Last column: magnetic moment on the atom in μB.
Positions (direct):
1 F 0.2489 0.8342 0.6698  0.04
2 Cs 0.6005 0.6091 0.1940  0.00
3 Cs 0.4036 0.3909 0.8060  0.00
4 F 0.0830 0.6698 0.1658  0.04
5 F 0.4978 0.0000 0.0000  0.00
6 Pd 0.0011 0.0000 0.0000  0.83
7 F 0.9187 0.3302 0.8342  0.04
8 Cs 0.2096 0.1940 0.3909  0.00
9 Cs 0.7944 0.8060 0.6091  0.00
10 F 0.7528 0.1658 0.3302  0.04

---

DFT (GGA-PBE) results for an optimized crystal structure of Cs3Pd2F7.

Values from the calculation:
Fermi-level density of states ... 2.7 states/eV/cell
Calculated total energy ... -4.151 eV/atom
SG ... Cmmm, No. 65

abc: 4.4047 4.4722 12.3316
angles: 100.45 90.00 90.00
Last column: magnetic moment on the atom in μB.
Positions (direct):
1 F 0.0000 0.5907 0.1813  0.00
2 F 0.5000 0.0908 0.1816  0.00
3 F 0.0000 0.4093 0.8187  0.00
4 Pd 0.0000 0.0898 0.1796  0.08
5 F 0.5000 0.9092 0.8184  0.00
6 F 0.0000 0.1782 0.3564  0.02
7 Cs 0.5000 0.3224 0.6449  0.00
8 Cs 0.5000 0.6776 0.3551  0.00
9 F 0.0000 0.0000 0.0000  0.00
10 F 0.0000 0.8218 0.6436  0.02
11 Cs 0.5000 0.5000 0.0000  0.00
12 Pd 0.0000 0.9102 0.8204  0.08

---

DFT (GGA-PBE) results for an optimized crystal structure of Cs2PdF4.

Values from the calculation:
Fermi-level density of states ... 0.0 states/eV/cell
Offset from the most stable computed form ... 0.0 kJ per mole of atoms
Calculated total energy ... -4.235 eV/atom
SG ... P4/mmm, No. 123

abc: 4.0058 6.7027 6.7027
angles: 90.00 90.00 90.00
Last column: magnetic moment on the atom in μB.
Positions (direct):
1 Cs 0.5000 0.0000 0.5000  0.00
2 Cs 0.5000 0.5000 0.0000  0.00
3 F 0.0000 0.7881 0.2119  0.00
4 Pd 0.0000 0.0000 0.0000  0.17
5 F 0.0000 0.2119 0.2119  0.00
6 F 0.0000 0.7881 0.7881  0.00
7 F 0.0000 0.2119 0.7881  0.00

---

DFT (GGA-PBE) results for an optimized crystal structure of Cs2Pd2F5.

Values from the calculation:
Fermi-level density of states ... 1.9 states/eV/cell
Calculated total energy ... -4.141 eV/atom
SG ... C2/m, No. 12

abc: 4.2666 8.0580 6.4178
angles: 103.40 90.00 105.35
Positions (direct):
1 F 0.5839 0.1678 0.7906
2 Pd 0.0880 0.1760 0.7963
3 F 0.8226 0.6452 0.3881
4 Pd 0.9120 0.8240 0.2037
5 F 0.1774 0.3548 0.6119
6 F 0.0000 0.0000 0.0000
7 Cs 0.3729 0.7457 0.7023
8 F 0.4161 0.8322 0.2094
9 Cs 0.6271 0.2543 0.2977